Here is Sr2LaCoO6 after structural relaxation from Alexandria. Energies are from GGA+U.

Unit cell a=5.867 b=5.867 c=5.867 alpha=60.00 beta=60.00 gamma=60.00
Each line ends with the local moment (μB).
Atoms (fractional coordinates):
Sr (0.750, 0.750, 0.750)  0.00
Sr (0.250, 0.250, 0.250)  0.00
La (0.500, 0.500, 0.500)  -0.04
Co (0.000, 0.000, 0.000)  1.55
O (0.224, 0.776, 0.776)  0.06
O (0.776, 0.224, 0.224)  0.06
O (0.776, 0.224, 0.776)  0.06
O (0.224, 0.776, 0.224)  0.06
O (0.776, 0.776, 0.224)  0.06
O (0.224, 0.224, 0.776)  0.06

Values from the calculation:
Spin magnetization ... 0.20 μB per atom
DFT total energy ... -6.40 eV per atom